# 1
# CaMg2Sb2 | Alexandria | PBEsol | relaxed
data_CaMg2Sb2
_space_group_name_H-M_alt 'P -3 m 1'
_space_group_IT_number 164
_space_group_name_Hall '-P 3 2"'
_cell_length_a 4.6433
_cell_length_b 4.6433
_cell_length_c 7.4645
_cell_angle_alpha 90.00
_cell_angle_beta 90.00
_cell_angle_gamma 120.00
loop_
_atom_site_label
_atom_site_fract_x
_atom_site_fract_y
_atom_site_fract_z
_atom_site_occupancy
Ca1 0.0000 0.0000 0.0000 1
Mg1 0.3333 0.6667 0.6316 1
Sb1 0.3333 0.6667 0.2411 1
# * size of the total moment: 0.0 μB per cell
# * crystal system: trigonal
# * E: -3.657 eV/atom
# * V: 139.4 Å³ per cell

# 2
# CaMgSb | Alexandria | PBEsol | relaxed
data_CaMgSb
_space_group_name_H-M_alt 'F -4 3 m'
_space_group_IT_number 216
_space_group_name_Hall 'F -4 2 3'
_cell_length_a 7.130
_cell_length_b 7.130
_cell_length_c 7.130
_cell_angle_alpha 90.00
_cell_angle_beta 90.00
_cell_angle_gamma 90.00
loop_
_atom_site_label
_atom_site_fract_x
_atom_site_fract_y
_atom_site_fract_z
_atom_site_occupancy
Ca1 0.000 0.000 0.000 1
Mg1 0.250 0.250 0.250 1
Sb1 0.250 0.250 0.750 1
# * size of the total moment: 0.0 μB per cell
# * crystal system: cubic
# * density of states at the Fermi level: 1.4 states/eV/f.u.
# * E: -3.053 eV/atom
# * V: 362.4 Å³ per cell

# 3
# CaMg2Sb2 | Alexandria | PBEsol | relaxed
data_CaMg2Sb2
_space_group_name_H-M_alt 'P 4/m b m'
_space_group_IT_number 127
_space_group_name_Hall '-P 4 2ab'
_cell_length_a 8.363
_cell_length_b 8.363
_cell_length_c 3.701
_cell_angle_alpha 90.00
_cell_angle_beta 90.00
_cell_angle_gamma 90.00
loop_
_atom_site_label
_atom_site_fract_x
_atom_site_fract_y
_atom_site_fract_z
_atom_site_occupancy
Ca1 0.000 0.000 0.000 1
Mg1 0.134 0.366 0.500 1
Sb1 0.163 0.663 0.000 1
# * size of the total moment: 0.0 μB per cell
# * crystal system: tetragonal
# * density of states at the Fermi level: 2.2 states/eV/f.u.
# * E: -3.360 eV/atom
# * V: 258.8 Å³ per cell